# Fe5Tc SCAN PBEsol geometry
# Uncorrected energy ... -20.69 eV/atom
data_Fe5Tc
_chemical_formula_sum 'Fe10 Tc2'
_cell_length_a 3.9283
_cell_length_b 2.4941
_cell_length_c 12.9369
_cell_angle_alpha 90.00
_cell_angle_beta 90.00
_cell_angle_gamma 90.00
_space_group_name_H-M_alt 'A m m 2'
_space_group_IT_number 38
loop_
_space_group_symop_operation_xyz
'x,y,z'
'-x,-y,z'
'-x,y,z'
'x,-y,z'
'x,y+1/2,z+1/2'
'-x,-y+1/2,z+1/2'
'-x,y+1/2,z+1/2'
'x,-y+1/2,z+1/2'
loop_
_atom_site_label
_atom_site_fract_x
_atom_site_fract_y
_atom_site_fract_z
_atom_site_occupancy
Fe1 0.0000 0.0000 0.0000 1
Fe2 0.0000 0.0000 0.3236 1
Fe3 0.0000 0.0000 0.6623 1
Fe4 0.5000 0.0000 0.2122 1
Fe5 0.5000 0.0000 0.5558 1
Tc1 0.5000 0.0000 0.8856 1

=====

# TaBe2NbGa SCAN PBEsol geometry
# Energy above the most stable polymorph in this dataset ... 0 meV/atom
data_TaBe2NbGa
_chemical_formula_sum 'Ta1 Be2 Nb1 Ga1'
_cell_length_a 4.0630
_cell_length_b 4.0630
_cell_length_c 4.7724
_cell_angle_alpha 90.00
_cell_angle_beta 90.00
_cell_angle_gamma 90.00
_space_group_name_H-M_alt 'P 4/m m m'
_space_group_IT_number 123
_space_group_name_Hall '-P 4 2'
loop_
_atom_site_label
_atom_site_fract_x
_atom_site_fract_y
_atom_site_fract_z
_atom_site_occupancy
Ta1 0.0000 0.0000 0.0000 1
Be1 0.0000 0.5000 0.5000 1
Nb1 0.5000 0.5000 0.0000 1
Ga1 0.0000 0.0000 0.5000 1

=====

Spin magnetization for every record listed, in sequence, given in μB/cell: 3.6; 0.0.